No. 1
## Ca2AcSmCd4 (PBE-GGA)

Data for a relaxed Ca2AcSmCd4 crystal.

```
Ca2AcSmCd4
1.0
-3.2126 -3.3154 2.9973
-2.6314 -4.1936 -2.4052
5.1111 -7.8682 1.8289
Ca Ac Sm Cd
2 1 1 4
Cartesian
-0.5807 -11.5094 1.8085
-0.1522 -3.8679 0.6124
0.0000 0.0000 0.0000
-0.3664 -7.6886 1.2105
2.1848 -9.6276 1.8001
-3.1338 -9.5689 1.2184
2.4009 -5.8083 1.2025
-2.9177 -5.7496 0.6208
```

## Properties
N(E_F) ... 6.58 states/eV/f.u.
Total DFT energy (no corrections) ... -19.295 eV for the cell shown
Formation energy from the elements ... -2.803 eV per formula unit
Magnetic moment ... 0.000 μB per atom
Space-group type ... No. 166

No. 2
## AlGaPdRu (PBE-GGA)

Data for a relaxed AlGaPdRu crystal.

```
AlGaPdRu
1.0
4.3002 0.0000 0.0000
2.1501 3.7241 0.0000
2.1501 1.2414 3.5111
Ru Ga Pd Al
1 1 1 1
Cartesian
6.4503 3.7241 2.6333
4.3002 2.4827 1.7555
2.1501 1.2414 0.8778
0.0000 0.0000 0.0000
```

## Properties
N(E_F) ... 0.91 states/eV/f.u.
Total DFT energy (no corrections) ... -23.712 eV for the cell shown
Formation energy from the elements ... -2.474 eV per formula unit
Magnetic moment ... 0.000 μB per atom
Space-group type ... No. 216

No. 3
## La2PmY2Er (PBE-GGA)

Data for a relaxed La2PmY2Er crystal.

```
La2PmY2Er
1.0
-0.5241 -2.8469 -1.8254
4.9167 1.7430 -4.1299
12.0842 -9.0105 10.5835
La Pm Y Er
4 2 4 2
Cartesian
4.8787 -3.7715 1.2735
6.0595 -0.3286 -1.2271
11.5981 -6.3429 3.3547
10.9413 -6.9389 7.6808
2.1963 -0.5520 -2.9777
6.0421 -4.5053 5.2918
7.8579 -3.2739 -0.3579
8.6189 -6.8405 4.9861
13.8943 -6.4506 6.0715
3.1066 -0.8169 0.3821
0.0000 0.0000 0.0000
8.2384 -5.0572 2.3141
```

## Properties
N(E_F) ... 11.14 states/eV/f.u.
Total DFT energy (no corrections) ... -61.026 eV for the cell shown
Formation energy from the elements ... 1.584 eV per formula unit
Magnetic moment ... 0.000 μB per atom
Space-group type ... No. 58

No. 4
## RbNa3 (PBE-GGA)

Data for a relaxed RbNa3 crystal.

```
RbNa3
1.0
-0.0789 1.2503 8.3763
2.5037 -7.4545 -3.1456
6.0682 2.1493 -0.2637
Rb Na
2 6
Cartesian
6.1940 -2.9409 0.4973
2.2990 -1.1140 4.4698
2.2339 -1.4495 0.2374
3.6006 -4.9463 3.1856
3.6451 -5.6510 -1.5355
6.2590 -2.6054 4.7297
4.8924 0.8914 1.7815
4.8479 1.5961 6.5026
```

## Properties
N(E_F) ... 2.49 states/eV/f.u.
Total DFT energy (no corrections) ... -9.462 eV for the cell shown
Formation energy from the elements ... 0.194 eV per formula unit
Magnetic moment ... 0.000 μB per atom
Space-group type ... No. 194

No. 5
## CdAsOF2 (PBE-GGA)

Data for a relaxed CdAsOF2 crystal.

```
CdAsOF2
1.0
4.3944 0.0000 0.0000
0.0000 4.3944 0.0000
0.0000 0.0000 3.9479
As F O Cd
1 2 1 1
Cartesian
0.0000 0.0000 0.0000
0.0000 2.1972 0.0000
2.1972 0.0000 0.0000
0.0000 0.0000 1.9739
2.1972 2.1972 1.9739
```

## Properties
N(E_F) ... 3.51 states/eV/f.u.
Total DFT energy (no corrections) ... -19.719 eV for the cell shown
Energy relative to the elements, uncorrected ... -1091 meV/atom
Magnetic moment ... 0.000 μB per atom
Space-group type ... No. 123

No. 6
## La4CeTm3Se8 (PBE-GGA)

Data for a relaxed La4CeTm3Se8 crystal.

```
La4CeTm3Se8
1.0
-1.5126 -5.0307 -6.4573
7.5035 -3.6822 1.1110
-5.3793 0.3625 6.3429
La Ce Tm Se
4 1 3 8
Cartesian
-0.7563 -2.5153 -3.2287
-3.4460 -2.3341 -0.0572
0.0000 0.0000 0.0000
-2.6896 0.1813 3.1715
3.7517 -1.8411 0.5555
2.9954 -4.3565 -2.6732
0.3058 -4.1752 0.4983
1.0621 -1.6598 3.7270
-0.1824 -3.5764 5.4503
2.4455 -3.7531 2.3510
-1.1080 -2.1234 1.9137
-0.9215 -6.0343 2.2954
1.5330 -2.3161 -1.2988
1.7196 -6.2270 -0.9171
-1.8339 -4.5973 -1.3543
0.7940 -4.7740 -4.4537
```

## Properties
N(E_F) ... 13.15 states/eV/f.u.
Total DFT energy (no corrections) ... -96.596 eV for the cell shown
Energy relative to the elements, uncorrected ... -1854 meV/atom
Magnetic moment ... 0.049 μB per atom
Space-group type ... No. 166

No. 7
## Zn2NiOs (PBE-GGA)

Data for a relaxed Zn2NiOs crystal.

```
Zn2NiOs
1.0
8.5427 0.0046 0.0027
8.1108 2.6818 0.0027
8.1108 1.3084 2.3410
Ni Os Zn
1 1 2
Cartesian
6.1911 0.9987 0.5866
18.5732 2.9962 1.7598
24.6489 3.9763 2.3355
12.4975 2.0161 1.1842
```

## Properties
N(E_F) ... 3.68 states/eV/f.u.
Total DFT energy (no corrections) ... -19.352 eV for the cell shown
Formation energy from the elements ... 0.207 eV per formula unit
Magnetic moment ... 0.000 μB per atom
Space-group type ... No. 166

No. 8
## Pr4Rh2Cl (PBE-GGA)

Data for a relaxed Pr4Rh2Cl crystal.

```
Pr4Rh2Cl
1.0
7.6291 0.0000 -2.4075
-3.9525 6.3696 -2.7939
0.2759 0.0000 7.9953
Pr Rh Cl
8 4 2
Cartesian
-2.1397 5.4702 0.4623
1.7281 4.7570 0.1200
-2.0017 4.0843 4.4600
0.8276 1.5722 5.5866
1.8660 4.7974 4.1176
4.6422 1.6126 4.3829
3.6744 0.8995 0.6225
-0.1401 2.2854 1.8263
6.2033 0.9974 1.7061
2.3887 2.1874 2.9098
-0.2745 5.3723 2.4847
-0.4124 4.1822 -1.5129
0.0000 0.0000 0.0000
3.8146 3.1848 -1.2038
```

## Properties
N(E_F) ... 3.94 states/eV/f.u.
Total DFT energy (no corrections) ... -82.940 eV for the cell shown
Energy relative to the elements, uncorrected ... -829 meV/atom
Magnetic moment ... 0.000 μB per atom
Space-group type ... No. 122

No. 9
## Na3Mg (PBE-GGA)

Data for a relaxed Na3Mg crystal.

```
Na3Mg
1.0
-2.6667 -4.1698 4.3805
3.9215 -2.6173 -4.6323
1.5425 6.0499 2.1696
Mg Na
1 3
Cartesian
-0.5621 0.9400 3.2751
0.0000 0.0000 0.0000
2.7320 1.7163 -1.2314
0.6274 -3.3936 -0.1259
```

## Properties
N(E_F) ... 1.60 states/eV/f.u.
Total DFT energy (no corrections) ... -5.281 eV for the cell shown
Formation energy from the elements ... 0.271 eV per formula unit
Magnetic moment ... 0.000 μB per atom
Space-group type ... No. 166

No. 10
## Y5TmRh6 (PBE-GGA)

Data for a relaxed Y5TmRh6 crystal.

```
Y5TmRh6
1.0
-4.4115 1.9258 0.4148
0.6237 -0.0497 6.8651
0.6789 7.6170 -0.0065
Y Tm Rh
5 1 6
Cartesian
-2.1768 6.3364 3.7047
-1.2467 3.1751 0.1363
0.3119 -0.0249 3.4325
-2.4859 6.3677 0.2720
-0.9321 3.1566 3.5686
0.0000 0.0000 0.0000
-2.9885 4.0892 5.5052
-3.3026 4.1142 2.0479
-2.0521 0.9506 1.8990
-1.7357 0.9254 5.3809
0.1937 5.3788 5.2254
-0.1204 5.4038 1.7681
```

## Properties
N(E_F) ... 6.82 states/eV/f.u.
Total DFT energy (no corrections) ... -91.247 eV for the cell shown
Formation energy from the elements ... -10.346 eV per formula unit
Magnetic moment ... 0.000 μB per atom
Space-group type ... No. 65

No. 11
## Rb3Hg7Pd2 (PBE-GGA)

Data for a relaxed Rb3Hg7Pd2 crystal.

```
Rb3Hg7Pd2
1.0
5.4174 0.0000 0.0000
0.0000 5.4174 0.0000
-2.7087 -2.7087 14.4488
Rb Hg Pd
3 7 2
Cartesian
0.0000 0.0000 9.1480
2.7087 2.7087 5.3008
2.7087 2.7087 0.0000
0.0000 0.0000 0.0000
2.7087 0.0000 11.7121
0.0000 2.7087 11.7121
0.0000 2.7087 2.7367
2.7087 0.0000 2.7367
0.0000 0.0000 5.5016
2.7087 2.7087 8.9472
0.0000 0.0000 2.7331
2.7087 2.7087 11.7157
```

## Properties
N(E_F) ... 2.98 states/eV/f.u.
Total DFT energy (no corrections) ... -18.303 eV for the cell shown
Formation energy from the elements ... -2.902 eV per formula unit
Magnetic moment ... 0.000 μB per atom
Space-group type ... No. 139

No. 12
## Ac3HfN4 (PBE-GGA)

Data for a relaxed Ac3HfN4 crystal.

```
Ac3HfN4
1.0
-5.1399 3.1606 -0.8403
-3.8224 -5.9710 0.9225
-0.3889 1.4718 7.9145
Ac Hf N
6 2 8
Cartesian
-5.9314 -3.4714 0.3541
-2.7379 -3.5418 2.5752
-4.0468 0.0086 1.8521
-0.8385 -0.0709 4.0756
-4.2412 0.7443 5.8079
-2.9324 -2.8056 6.5339
-0.7179 -0.9953 0.1498
-5.9848 -2.5883 4.2909
-3.8285 -5.0109 0.7437
-4.1420 1.0815 -0.4046
-1.7549 -1.2383 1.9654
-5.7889 -1.8281 2.3378
-4.2426 -3.6308 4.5704
-3.6490 1.9038 3.5703
-5.9615 -1.1749 5.8505
-1.9712 -0.4197 6.3672
```

## Properties
N(E_F) ... 2.29 states/eV/f.u.
Total DFT energy (no corrections) ... -130.985 eV for the cell shown
Energy relative to the elements, uncorrected ... -1239 meV/atom
Magnetic moment ... 0.000 μB per atom
Space-group type ... No. 31